# LaTbTc, relaxed, DFT PBE
# - Total magnetic moment: 0.0 μB per formula unit
# - D(E_F): 0.797 states/eV/atom
# - Energy relative to the elements: 0.17 kcal/mol of atoms
# - Crystal system: orthorhombic
data_LaTbTc
_cell_length_a 6.922
_cell_length_b 7.347
_cell_length_c 7.334
_cell_angle_alpha 90.00
_cell_angle_beta 90.00
_cell_angle_gamma 118.10
_symmetry_space_group_name_H-M 'P 1'
_symmetry_Int_Tables_number 1
loop_
_symmetry_equiv_pos_as_xyz
'x,y,z'
loop_
_atom_site_label
_atom_site_fract_x
_atom_site_fract_y
_atom_site_fract_z
_atom_site_occupancy
Tb1 0.778 0.055 0.250 1
Tb2 0.278 0.055 0.250 1
Tb3 0.222 0.945 0.750 1
Tb4 0.722 0.945 0.750 1
Tc1 0.385 0.770 0.473 1
Tc2 0.885 0.770 0.027 1
Tc3 0.615 0.230 0.527 1
Tc4 0.115 0.230 0.973 1
La1 0.290 0.580 0.107 1
La2 0.210 0.420 0.607 1
La3 0.710 0.420 0.893 1
La4 0.790 0.580 0.393 1

---

# Hf7In2Pb2, relaxed, DFT PBE
# - Total magnetic moment: 0.0 μB per formula unit
# - D(E_F): 0.866 states/eV/atom
# - Energy relative to the elements: 12.13 kcal/mol of atoms
# - Crystal system: orthorhombic
data_Hf7In2Pb2
_cell_length_a 6.538
_cell_length_b 6.770
_cell_length_c 6.538
_cell_angle_alpha 90.00
_cell_angle_beta 101.08
_cell_angle_gamma 90.00
_symmetry_space_group_name_H-M 'P 1'
_symmetry_Int_Tables_number 1
loop_
_symmetry_equiv_pos_as_xyz
'x,y,z'
loop_
_atom_site_label
_atom_site_fract_x
_atom_site_fract_y
_atom_site_fract_z
_atom_site_occupancy
Hf1 0.000 0.000 0.000 1
Hf2 0.500 0.724 0.000 1
Hf3 0.000 0.276 0.500 1
Hf4 0.500 0.731 0.500 1
Hf5 0.000 0.724 0.500 1
Hf6 0.500 0.276 0.000 1
Hf7 0.500 0.269 0.500 1
In1 0.718 0.000 0.282 1
In2 0.282 0.000 0.718 1
Pb1 0.820 0.500 0.820 1
Pb2 0.180 0.500 0.180 1

---

# LaCuTc2, relaxed, DFT PBE
# - Total magnetic moment: 0.0 μB per formula unit
# - D(E_F): 0.970 states/eV/atom
# - Energy relative to the elements: 11.20 kcal/mol of atoms
# - Crystal system: tetragonal
data_LaCuTc2
_cell_length_a 4.161
_cell_length_b 4.161
_cell_length_c 9.857
_cell_angle_alpha 77.82
_cell_angle_beta 77.82
_cell_angle_gamma 90.00
_symmetry_space_group_name_H-M 'P 1'
_symmetry_Int_Tables_number 1
loop_
_symmetry_equiv_pos_as_xyz
'x,y,z'
loop_
_atom_site_label
_atom_site_fract_x
_atom_site_fract_y
_atom_site_fract_z
_atom_site_occupancy
La1 0.000 0.000 0.000 1
La2 0.750 0.250 0.500 1
Tc1 0.230 0.625 0.250 1
Tc2 0.375 0.480 0.750 1
Tc3 0.875 0.770 0.750 1
Tc4 0.520 0.125 0.250 1
Cu1 0.250 0.750 0.500 1
Cu2 0.500 0.500 0.000 1